Entry 1:
Here is K4Si23 at its PBEsol-relaxed geometry from Alexandria. Energies are from meta-GGA SCAN.

Values from the calculation:
Symmetry ... Pm-3n, No. 223
ΔE_f (raw) ... -0.02 eV/atom
Crystal system ... cubic
Final energy ... -0.3595 hartree per atom

a = 10.259 Å, b = 10.259 Å, c = 10.259 Å
α = 90.00°, β = 90.00°, γ = 90.00°
Sites, in units of the cell vectors:
Si (0.815, 0.185, 0.185)
Si (0.685, 0.685, 0.685)
Si (0.185, 0.815, 0.815)
Si (0.618, 0.500, 0.193)
Si (0.500, 0.000, 0.750)
Si (0.000, 0.750, 0.500)
Si (0.807, 0.618, 0.500)
Si (0.693, 0.000, 0.882)
Si (0.118, 0.693, 0.000)
Si (0.882, 0.307, 0.000)
Si (0.750, 0.500, 0.000)
Si (0.307, 0.000, 0.118)
Si (0.815, 0.185, 0.815)
Si (0.382, 0.500, 0.807)
Si (0.000, 0.882, 0.693)
Si (0.315, 0.315, 0.685)
Si (0.882, 0.693, 0.000)
Si (0.685, 0.315, 0.685)
Si (0.685, 0.315, 0.315)
Si (0.000, 0.118, 0.307)
Si (0.250, 0.500, 0.000)
Si (0.382, 0.500, 0.193)
Si (0.000, 0.118, 0.693)
Si (0.693, 0.000, 0.118)
Si (0.315, 0.315, 0.315)
Si (0.185, 0.185, 0.815)
Si (0.185, 0.185, 0.185)
Si (0.815, 0.815, 0.185)
Si (0.315, 0.685, 0.685)
Si (0.807, 0.382, 0.500)
Si (0.500, 0.193, 0.382)
Si (0.685, 0.685, 0.315)
Si (0.315, 0.685, 0.315)
Si (0.000, 0.250, 0.500)
Si (0.307, 0.000, 0.882)
Si (0.815, 0.815, 0.815)
Si (0.185, 0.815, 0.185)
Si (0.500, 0.193, 0.618)
Si (0.500, 0.807, 0.618)
Si (0.618, 0.500, 0.807)
Si (0.000, 0.882, 0.307)
Si (0.500, 0.807, 0.382)
Si (0.118, 0.307, 0.000)
Si (0.500, 0.000, 0.250)
Si (0.193, 0.618, 0.500)
Si (0.193, 0.382, 0.500)
K (0.000, 0.500, 0.250)
K (0.500, 0.750, 0.000)
K (0.000, 0.500, 0.750)
K (0.750, 0.000, 0.500)
K (0.500, 0.250, 0.000)
K (0.250, 0.000, 0.500)
K (0.000, 0.000, 0.000)
K (0.500, 0.500, 0.500)

=====

Entry 2:
Here is TcGeTe2 at its PBEsol-relaxed geometry from Alexandria. Energies are from meta-GGA SCAN.

Values from the calculation:
Symmetry ... R-3m, No. 166
ΔE_f (raw) ... 0.83 eV/atom
Crystal system ... trigonal
Final energy ... -1.1513 hartree per atom

a = 3.112 Å, b = 3.112 Å, c = 10.510 Å
α = 81.49°, β = 81.49°, γ = 60.00°
Sites, in units of the cell vectors:
Ge (0.500, 0.500, 0.500)
Te (0.918, 0.918, 0.246)
Te (0.082, 0.082, 0.754)
Tc (0.000, 0.000, 0.000)

=====

Entry 3:
Here is BTe2S at its PBEsol-relaxed geometry from Alexandria. Energies are from meta-GGA SCAN.

Values from the calculation:
Symmetry ... Fm-3m, No. 225
Relative energy among the computed polymorphs ... 599 meV/atom
ΔE_f (raw) ... 1.21 eV/atom
Crystal system ... cubic
Final energy ... -0.7969 hartree per atom

a = 4.690 Å, b = 4.690 Å, c = 4.690 Å
α = 60.00°, β = 60.00°, γ = 60.00°
Sites, in units of the cell vectors:
B (0.000, 0.000, 0.000)
S (0.500, 0.500, 0.500)
Te (0.750, 0.750, 0.750)
Te (0.250, 0.250, 0.250)

=====

Entry 4:
Here is Ca2TeRh at its PBEsol-relaxed geometry from Alexandria. Energies are from meta-GGA SCAN.

Values from the calculation:
Symmetry ... P4/mmm, No. 123
ΔE_f (raw) ... -0.78 eV/atom
Crystal system ... tetragonal
Final energy ... -0.8588 hartree per atom

a = 3.753 Å, b = 3.753 Å, c = 6.518 Å
α = 90.00°, β = 90.00°, γ = 90.00°
Sites, in units of the cell vectors:
Ca (0.000, 0.000, 0.236)
Ca (0.000, 0.000, 0.764)
Rh (0.500, 0.500, 0.000)
Te (0.500, 0.500, 0.500)

=====

Entry 5:
Here is Th7Fe3 at its PBEsol-relaxed geometry from Alexandria. Energies are from meta-GGA SCAN.

Values from the calculation:
Symmetry ... P6_3mc, No. 186
Crystal system ... hexagonal
Formation enthalpy at 0 K ... -0.036 eV/atom
Final energy ... -2.6687 hartree per atom

a = 6.129 Å, b = 9.509 Å, c = 9.509 Å
α = 120.00°, β = 90.00°, γ = 90.00°
Sites, in units of the cell vectors:
Th (0.448, 0.543, 0.457)
Th (0.747, 0.249, 0.124)
Th (0.448, 0.543, 0.085)
Th (0.948, 0.085, 0.543)
Th (0.448, 0.915, 0.457)
Th (0.247, 0.124, 0.876)
Th (0.747, 0.876, 0.124)
Th (0.967, 0.667, 0.333)
Th (0.247, 0.124, 0.249)
Th (0.467, 0.333, 0.667)
Th (0.948, 0.457, 0.915)
Th (0.747, 0.876, 0.751)
Th (0.948, 0.457, 0.543)
Th (0.247, 0.751, 0.876)
Fe (0.206, 0.816, 0.184)
Fe (0.706, 0.632, 0.816)
Fe (0.206, 0.368, 0.184)
Fe (0.206, 0.816, 0.632)
Fe (0.706, 0.184, 0.368)
Fe (0.706, 0.184, 0.816)

=====

Entry 6:
Here is RbAlNiF6 at its PBEsol-relaxed geometry from Alexandria. Energies are from meta-GGA SCAN.

Values from the calculation:
Symmetry ... Imma, No. 74
ΔE_f (raw) ... -3.20 eV/atom
Crystal system ... orthorhombic
Final energy ... -0.3867 hartree per atom

a = 7.024 Å, b = 7.019 Å, c = 7.019 Å
α = 60.09°, β = 59.98°, γ = 59.98°
Site moments in Bohr magnetons follow the coordinates.
Sites, in units of the cell vectors:
F (0.587, 0.059, 0.193)  0.03
F (0.413, 0.307, 0.441)  0.03
F (0.587, 0.693, 0.559)  0.03
F (0.413, 0.941, 0.807)  0.03
F (0.203, 0.047, 0.547)  0.00
F (0.412, 0.338, 0.838)  0.08
F (0.839, 0.941, 0.807)  0.03
F (0.161, 0.059, 0.193)  0.03
F (0.797, 0.953, 0.453)  0.00
F (0.161, 0.693, 0.559)  0.03
F (0.839, 0.307, 0.441)  0.03
F (0.588, 0.662, 0.162)  0.08
Rb (0.125, 0.625, 0.125)  0.00
Rb (0.875, 0.375, 0.875)  0.00
Al (0.000, 0.000, 0.500)  0.00
Al (0.500, 0.000, 0.500)  0.00
Ni (0.500, 0.000, 0.000)  1.78
Ni (0.500, 0.500, 0.500)  1.78

=====

Question: Look up the final energy of the sixth one.
Answer: -0.3867 hartree per atom

=====

Question: The highest final energy belongs to which entry?
Answer: K4Si23